Crystalline ScFe2Cl at its relaxed geometry. Source: Alexandria via LeMat-Bulk, functional PBE.

Results
DFT total energy   -6.29 eV/atom
Formation energy from raw total energies   -0.01 eV/atom
Total magnetization   4.506 μB/f.u.

Unit cell a=4.9889 b=3.0584 c=4.1446 alpha=90.91 beta=90.00 gamma=90.00
Fractional positions:
Cl 0.5000 0.7500 0.7500
Fe 0.0000 0.9746 0.0221
Fe 0.0000 0.5254 0.4779
Sc 0.5000 0.2500 0.2500

***

Crystalline ScFeCl2 at its relaxed geometry. Source: Alexandria via LeMat-Bulk, functional PBE.

Results
DFT total energy   -5.03 eV/atom
Formation energy from raw total energies   -0.41 eV/atom
Total magnetization   2.498 μB/f.u.

Unit cell a=3.1317 b=5.7449 c=4.0730 alpha=90.00 beta=90.00 gamma=90.00
Fractional positions:
Sc 0.0000 0.5000 0.5000
Fe 0.5000 0.0000 0.5000
Cl 0.0000 0.0000 0.0000
Cl 0.5000 0.5000 0.0000